! LaTiNiO4 (PBE with a Hubbard U, relaxed); values from VASP
&SYSTEM
  ibrav = 0, nat = 14, ntyp = 4
/
ATOMIC_SPECIES
La 138.91 La.upf
Ti 47.87 Ti.upf
Ni 58.69 Ni.upf
O 16.00 O.upf
CELL_PARAMETERS angstrom
3.830 0.000 0.000
0.000 3.830 0.000
0.000 0.000 12.312
ATOMIC_POSITIONS crystal
La 0.250 0.250 0.116
La 0.750 0.750 0.884
Ti 0.250 0.250 0.715
Ti 0.750 0.750 0.285
Ni 0.250 0.750 0.500
Ni 0.750 0.250 0.500
O 0.250 0.250 0.566
O 0.250 0.250 0.924
O 0.250 0.750 0.249
O 0.250 0.750 0.751
O 0.750 0.250 0.249
O 0.750 0.250 0.751
O 0.750 0.750 0.076
O 0.750 0.750 0.434
! - VASP energy (eV per formula unit) = -53.06
! - SG = No. 129
! - density (kg/m3) = 5690